# 1
This record from the Alexandria database describes a relaxed structure of Cr3SiOs. The functional is PBE.

```
data_Cr3SiOs
_chemical_formula_sum 'Cr3 Si1 Os1'
_space_group_name_H-M_alt 'P 1'
_space_group_IT_number 1
_cell_length_a 4.149
_cell_length_b 4.149
_cell_length_c 4.149
_cell_angle_alpha 90.00
_cell_angle_beta 90.00
_cell_angle_gamma 90.00
loop_
_space_group_symop_operation_xyz
'x,y,z'
loop_
_atom_site_label
_atom_site_type_symbol
_atom_site_fract_x
_atom_site_fract_y
_atom_site_fract_z
Os1 Os 0.500 0.500 0.500
Cr1 Cr 0.000 0.500 0.000
Cr2 Cr 0.000 0.000 0.500
Si1 Si 0.000 0.000 0.000
Cr3 Cr 0.500 0.000 0.000
```

Computed properties:
Total DFT energy (no corrections) = -7.924 eV per atom
Energy above the most stable polymorph in this dataset = 0 meV/atom
Magnetic moment = 0.86 Bohr magnetons per cell
E_form (uncorrected) = 570 kJ/mol of formula units

---

# 2
This record from the Alexandria database describes a relaxed structure of SmIn4I7. The functional is PBE.

```
data_SmIn4I7
_chemical_formula_sum 'Sm1 In4 I7'
_space_group_name_H-M_alt 'P 1'
_space_group_IT_number 1
_cell_length_a 5.967
_cell_length_b 8.486
_cell_length_c 12.309
_cell_angle_alpha 114.89
_cell_angle_beta 104.03
_cell_angle_gamma 90.00
loop_
_space_group_symop_operation_xyz
'x,y,z'
loop_
_atom_site_label
_atom_site_type_symbol
_atom_site_fract_x
_atom_site_fract_y
_atom_site_fract_z
I1 I 0.500 0.000 0.000
In1 In 0.419 0.481 0.838
In2 In 0.312 0.896 0.623
I2 I 0.883 0.646 0.766
I3 I 0.275 0.222 0.550
In3 In 0.581 0.519 0.162
In4 In 0.688 0.104 0.377
I4 I 0.725 0.778 0.450
Sm1 Sm 0.000 0.000 0.000
I5 I 0.916 0.192 0.832
I6 I 0.084 0.808 0.168
I7 I 0.117 0.354 0.234
```

Computed properties:
Total DFT energy (no corrections) = -2.934 eV per atom
Magnetic moment = 0.00 Bohr magnetons per cell
E_form (uncorrected) = -838 kJ/mol of formula units

---

# 3
This record from the Alexandria database describes a relaxed structure of Cr5Rh3. The functional is PBE.

```
data_Cr5Rh3
_chemical_formula_sum 'Cr10 Rh6'
_space_group_name_H-M_alt 'P 1'
_space_group_IT_number 1
_cell_length_a 6.634
_cell_length_b 7.846
_cell_length_c 4.610
_cell_angle_alpha 90.00
_cell_angle_beta 90.00
_cell_angle_gamma 64.88
loop_
_space_group_symop_operation_xyz
'x,y,z'
loop_
_atom_site_label
_atom_site_type_symbol
_atom_site_fract_x
_atom_site_fract_y
_atom_site_fract_z
Cr1 Cr 0.019 0.217 0.250
Rh1 Rh 0.615 0.416 0.250
Rh2 Rh 0.420 0.992 0.250
Rh3 Rh 0.580 0.008 0.750
Rh4 Rh 0.385 0.584 0.750
Cr2 Cr 0.651 0.696 0.514
Rh5 Rh 0.014 0.592 0.250
Cr3 Cr 0.231 0.781 0.250
Cr4 Cr 0.171 0.996 0.750
Cr5 Cr 0.349 0.304 0.014
Cr6 Cr 0.770 0.219 0.750
Cr7 Cr 0.829 0.004 0.250
Cr8 Cr 0.651 0.696 0.986
Rh6 Rh 0.986 0.408 0.750
Cr9 Cr 0.349 0.304 0.486
Cr10 Cr 0.981 0.783 0.750
```

Computed properties:
Total DFT energy (no corrections) = -8.625 eV per atom
Energy above the most stable polymorph in this dataset = 75 meV/atom
Magnetic moment = 3.34 Bohr magnetons per cell
Formation energy = 0.15 eV per atom

---

# 4
This record from the Alexandria database describes a relaxed structure of CdH2BrO. The functional is PBE.

```
data_CdH2BrO
_chemical_formula_sum 'Cd2 H4 Br2 O2'
_space_group_name_H-M_alt 'P 1'
_space_group_IT_number 1
_cell_length_a 3.794
_cell_length_b 5.587
_cell_length_c 9.194
_cell_angle_alpha 90.00
_cell_angle_beta 90.00
_cell_angle_gamma 109.85
loop_
_space_group_symop_operation_xyz
'x,y,z'
loop_
_atom_site_label
_atom_site_type_symbol
_atom_site_fract_x
_atom_site_fract_y
_atom_site_fract_z
O1 O 0.000 0.000 0.500
O2 O 0.000 0.000 0.000
Br1 Br 0.314 0.628 0.250
Cd1 Cd 0.591 0.181 0.250
H1 H 0.926 0.851 0.061
H2 H 0.926 0.851 0.439
H3 H 0.074 0.149 0.939
Cd2 Cd 0.409 0.819 0.750
H4 H 0.074 0.149 0.561
Br2 Br 0.686 0.372 0.750
```

Computed properties:
Total DFT energy (no corrections) = -3.264 eV per atom
Magnetic moment = 0.00 Bohr magnetons per cell

---

# 5
This record from the Alexandria database describes a relaxed structure of LaRhBr2. The functional is PBE.

```
data_LaRhBr2
_chemical_formula_sum 'La1 Rh1 Br2'
_space_group_name_H-M_alt 'P 1'
_space_group_IT_number 1
_cell_length_a 7.830
_cell_length_b 7.830
_cell_length_c 7.830
_cell_angle_alpha 31.99
_cell_angle_beta 31.99
_cell_angle_gamma 31.99
loop_
_space_group_symop_operation_xyz
'x,y,z'
loop_
_atom_site_label
_atom_site_type_symbol
_atom_site_fract_x
_atom_site_fract_y
_atom_site_fract_z
Rh1 Rh 0.745 0.745 0.745
Br1 Br 0.230 0.230 0.230
Br2 Br 0.049 0.049 0.049
La1 La 0.476 0.476 0.476
```

Computed properties:
Total DFT energy (no corrections) = -5.020 eV per atom
Energy above the most stable polymorph in this dataset = 21 meV/atom
Magnetic moment = 0.00 Bohr magnetons per cell
E_form (uncorrected) = -430 kJ/mol of formula units

---

# 6
This record from the Alexandria database describes a relaxed structure of PaCrGa2. The functional is PBE.

```
data_PaCrGa2
_chemical_formula_sum 'Pa1 Cr1 Ga2'
_space_group_name_H-M_alt 'P 1'
_space_group_IT_number 1
_cell_length_a 4.279
_cell_length_b 4.279
_cell_length_c 5.486
_cell_angle_alpha 67.04
_cell_angle_beta 67.04
_cell_angle_gamma 60.00
loop_
_space_group_symop_operation_xyz
'x,y,z'
loop_
_atom_site_label
_atom_site_type_symbol
_atom_site_fract_x
_atom_site_fract_y
_atom_site_fract_z
Pa1 Pa 0.000 0.000 0.000
Ga1 Ga 0.780 0.780 0.659
Cr1 Cr 0.500 0.500 0.500
Ga2 Ga 0.220 0.220 0.341
```

Computed properties:
Total DFT energy (no corrections) = -6.322 eV per atom
Magnetic moment = 2.71 Bohr magnetons per cell
Formation energy = -0.03 eV per atom

---

# 7
This record from the Alexandria database describes a relaxed structure of CdFe2Ir2. The functional is PBE.

```
data_CdFe2Ir2
_chemical_formula_sum 'Cd2 Fe4 Ir4'
_space_group_name_H-M_alt 'P 1'
_space_group_IT_number 1
_cell_length_a 7.317
_cell_length_b 7.317
_cell_length_c 2.686
_cell_angle_alpha 90.00
_cell_angle_beta 90.00
_cell_angle_gamma 90.00
loop_
_space_group_symop_operation_xyz
'x,y,z'
loop_
_atom_site_label
_atom_site_type_symbol
_atom_site_fract_x
_atom_site_fract_y
_atom_site_fract_z
Cd1 Cd 0.500 0.500 0.000
Ir1 Ir 0.872 0.628 0.000
Fe1 Fe 0.167 0.667 0.500
Fe2 Fe 0.333 0.167 0.500
Ir2 Ir 0.128 0.372 0.000
Ir3 Ir 0.372 0.872 0.000
Fe3 Fe 0.667 0.833 0.500
Ir4 Ir 0.628 0.128 0.000
Cd2 Cd 0.000 0.000 0.000
Fe4 Fe 0.833 0.333 0.500
```

Computed properties:
Total DFT energy (no corrections) = -6.851 eV per atom
Magnetic moment = 0.00 Bohr magnetons per cell
Formation energy = 0.26 eV per atom

---

# 8
This record from the Alexandria database describes a relaxed structure of Ac5RhPb2. The functional is PBE.

```
data_Ac5RhPb2
_chemical_formula_sum 'Ac10 Rh2 Pb4'
_space_group_name_H-M_alt 'P 1'
_space_group_IT_number 1
_cell_length_a 6.466
_cell_length_b 6.449
_cell_length_c 16.867
_cell_angle_alpha 90.00
_cell_angle_beta 90.00
_cell_angle_gamma 120.09
loop_
_space_group_symop_operation_xyz
'x,y,z'
loop_
_atom_site_label
_atom_site_type_symbol
_atom_site_fract_x
_atom_site_fract_y
_atom_site_fract_z
Ac1 Ac 0.582 0.164 0.618
Ac2 Ac 0.918 0.836 0.618
Ac3 Ac 0.750 0.500 0.250
Ac4 Ac 0.082 0.164 0.382
Pb1 Pb 0.250 0.501 0.949
Rh1 Rh 0.250 0.500 0.250
Ac5 Ac 0.582 0.164 0.882
Ac6 Ac 0.082 0.164 0.118
Ac7 Ac 0.418 0.836 0.382
Ac8 Ac 0.918 0.836 0.882
Ac9 Ac 0.250 0.500 0.750
Rh2 Rh 0.750 0.500 0.750
Pb2 Pb 0.750 0.499 0.051
Pb3 Pb 0.750 0.499 0.449
Pb4 Pb 0.250 0.501 0.551
Ac10 Ac 0.418 0.836 0.118
```

Computed properties:
Total DFT energy (no corrections) = -4.741 eV per atom
Energy above the most stable polymorph in this dataset = 211 meV/atom
Magnetic moment = 0.00 Bohr magnetons per cell
Formation energy = -0.33 eV per atom

---

# 9
This record from the Alexandria database describes a relaxed structure of Be4CdPt. The functional is PBE.

```
data_Be4CdPt
_chemical_formula_sum 'Be4 Cd1 Pt1'
_space_group_name_H-M_alt 'P 1'
_space_group_IT_number 1
_cell_length_a 4.531
_cell_length_b 4.531
_cell_length_c 4.531
_cell_angle_alpha 60.00
_cell_angle_beta 60.00
_cell_angle_gamma 60.00
loop_
_space_group_symop_operation_xyz
'x,y,z'
loop_
_atom_site_label
_atom_site_type_symbol
_atom_site_fract_x
_atom_site_fract_y
_atom_site_fract_z
Be1 Be 0.374 0.879 0.374
Pt1 Pt 0.000 0.000 0.000
Be2 Be 0.374 0.374 0.374
Be3 Be 0.879 0.374 0.374
Be4 Be 0.374 0.374 0.879
Cd1 Cd 0.750 0.750 0.750
```

Computed properties:
Total DFT energy (no corrections) = -3.880 eV per atom
Magnetic moment = 0.00 Bohr magnetons per cell
Formation energy = -0.24 eV per atom

---

# 10
This record from the Alexandria database describes a relaxed structure of Y3CdSe6. The functional is PBE.

```
data_Y3CdSe6
_chemical_formula_sum 'Y6 Cd2 Se12'
_space_group_name_H-M_alt 'P 1'
_space_group_IT_number 1
_cell_length_a 7.071
_cell_length_b 8.774
_cell_length_c 8.774
_cell_angle_alpha 100.06
_cell_angle_beta 90.00
_cell_angle_gamma 90.00
loop_
_space_group_symop_operation_xyz
'x,y,z'
loop_
_atom_site_label
_atom_site_type_symbol
_atom_site_fract_x
_atom_site_fract_y
_atom_site_fract_z
Se1 Se 0.690 0.968 0.032
Se2 Se 0.683 0.627 0.701
Se3 Se 0.637 0.227 0.773
Y1 Y 0.982 0.082 0.278
Y2 Y 0.482 0.918 0.722
Se4 Se 0.183 0.373 0.299
Se5 Se 0.218 0.095 0.545
Se6 Se 0.218 0.455 0.905
Y3 Y 0.482 0.278 0.082
Cd1 Cd 0.505 0.792 0.208
Se7 Se 0.137 0.773 0.227
Y4 Y 0.887 0.597 0.403
Y5 Y 0.982 0.722 0.918
Se8 Se 0.190 0.032 0.968
Se9 Se 0.183 0.701 0.627
Y6 Y 0.387 0.403 0.597
Se10 Se 0.718 0.905 0.455
Se11 Se 0.718 0.545 0.095
Se12 Se 0.683 0.299 0.373
Cd2 Cd 0.005 0.208 0.792
```

Computed properties:
Total DFT energy (no corrections) = -5.566 eV per atom
Magnetic moment = 0.00 Bohr magnetons per cell
E_form (uncorrected) = -1394 kJ/mol of formula units

---

# 11
This record from the Alexandria database describes a relaxed structure of Ca2Zn3CdCu12. The functional is PBE.

```
data_Ca2Zn3CdCu12
_chemical_formula_sum 'Ca2 Zn3 Cd1 Cu12'
_space_group_name_H-M_alt 'P 1'
_space_group_IT_number 1
_cell_length_a 6.567
_cell_length_b 6.567
_cell_length_c 6.567
_cell_angle_alpha 85.03
_cell_angle_beta 85.03
_cell_angle_gamma 85.03
loop_
_space_group_symop_operation_xyz
'x,y,z'
loop_
_atom_site_label
_atom_site_type_symbol
_atom_site_fract_x
_atom_site_fract_y
_atom_site_fract_z
Cu1 Cu 0.711 0.202 0.202
Cu2 Cu 0.417 0.862 0.417
Cu3 Cu 0.202 0.711 0.202
Cu4 Cu 0.417 0.417 0.862
Cu5 Cu 0.289 0.798 0.798
Cu6 Cu 0.862 0.417 0.417
Cd1 Cd 0.000 0.000 0.000
Zn1 Zn 0.000 0.500 0.000
Cu7 Cu 0.202 0.202 0.711
Cu8 Cu 0.798 0.798 0.289
Cu9 Cu 0.798 0.289 0.798
Cu10 Cu 0.583 0.138 0.583
Cu11 Cu 0.583 0.583 0.138
Cu12 Cu 0.138 0.583 0.583
Zn2 Zn 0.500 0.000 0.000
Ca1 Ca 0.289 0.289 0.289
Zn3 Zn 0.000 0.000 0.500
Ca2 Ca 0.711 0.711 0.711
```

Computed properties:
Total DFT energy (no corrections) = -3.118 eV per atom
Magnetic moment = 0.00 Bohr magnetons per cell
Formation energy = 0.10 eV per atom